The following is a GGA-PBE calculation of a relaxed K3Tl4Bi2Au2 crystal, from the Alexandria database.

Results
DOS at the Fermi energy   4.69 states/eV/cell
Size of the total moment   0.00 Bohr magnetons per cell
DFT formation energy   -174 meV/atom

a = 5.4923 Å, b = 5.4923 Å, c = 14.4036 Å
α = 90.00°, β = 90.00°, γ = 120.00°
Space group P-3m1 (No. 164)
One atom of each set of equivalent atoms:
1 K 0.0000 0.0000 0.0000 [1 per cell]
2 K 0.0000 0.0000 0.3028 [2 per cell]
3 Tl 0.3333 0.6667 0.4085 [2 per cell]
4 Tl 0.3333 0.6667 0.8232 [2 per cell]
5 Bi 0.3333 0.6667 0.1568 [2 per cell]
6 Au 0.3333 0.6667 0.6130 [2 per cell]